1.
# LiBeGaO3 (PBE, optimized geometry)
# Uncorrected formation energy in eV per atom: -2.075
# Energy in eV for the cell shown: -72.0
data_LiBeGaO3
_chemical_formula_sum 'Li2 Be2 Ga2 O6'
_space_group_name_H-M_alt 'P 1 21/m 1'
_space_group_IT_number 11
_cell_length_a 5.806
_cell_length_b 2.918
_cell_length_c 7.510
_cell_angle_alpha 90.00
_cell_angle_beta 105.21
_cell_angle_gamma 90.00
loop_
_space_group_symop_operation_xyz
'x,y,z'
'-x,-y,-z'
'-x,y+1/2,-z'
'x,-y+1/2,z'
loop_
_atom_site_label
_atom_site_type_symbol
_atom_site_fract_x
_atom_site_fract_y
_atom_site_fract_z
Li1 Li 0.167 0.250 0.138
Be1 Be 0.058 0.250 0.609
Ga1 Ga 0.337 0.750 0.849
O1 O 0.084 0.250 0.832
O2 O 0.176 0.750 0.572
O3 O 0.426 0.750 0.130



2.
# HfHAu2Cl (PBE, optimized geometry)
# Energy relative to the lowest polymorph listed for this composition in eV/atom: 0.7793
# Energy in eV for the cell shown: -15.8
data_HfHAu2Cl
_chemical_formula_sum 'Hf1 H1 Au2 Cl1'
_space_group_name_H-M_alt 'P 4/m m m'
_space_group_IT_number 123
_space_group_name_Hall '-P 4 2'
_cell_length_a 4.883
_cell_length_b 4.883
_cell_length_c 4.663
_cell_angle_alpha 90.00
_cell_angle_beta 90.00
_cell_angle_gamma 90.00
loop_
_atom_site_label
_atom_site_type_symbol
_atom_site_fract_x
_atom_site_fract_y
_atom_site_fract_z
Hf1 Hf 0.000 0.000 0.000
H1 H 0.500 0.500 0.000
Au1 Au 0.000 0.500 0.500
Cl1 Cl 0.000 0.000 0.500